# 1
Entry from the Alexandria database: an optimized crystal structure of PaTl2Ni2Se4 (GGA-PBE).

The calculation puts the total magnetization at 0.0 μB/f.u. The value obtained for the formation energy from raw total energies is -614 kJ/mol of formula units. Its space group is C2/m (12). The total energy comes out at -46.091 eV per formula unit.

abc: 3.978 8.175 7.405
angles: 107.20 105.58 90.00
Positions (direct):
Pa (0.000, 0.000, 0.000)
Ni (0.318, 0.003, 0.636)
Ni (0.682, 0.997, 0.364)
Tl (0.141, 0.574, 0.282)
Tl (0.859, 0.426, 0.718)
Se (0.202, 0.170, 0.404)
Se (0.525, 0.769, 0.049)
Se (0.475, 0.231, 0.951)
Se (0.798, 0.830, 0.596)

---

# 2
Entry from the Alexandria database: an optimized crystal structure of Pa2TlNi2Se6 (GGA-PBE).

The calculation puts the total magnetization at 1.1 μB/f.u. The value obtained for the formation energy from raw total energies is -891 kJ/mol of formula units. Its space group is P-1 (2). The total energy comes out at -63.060 eV per formula unit.

abc: 7.378 7.504 7.786
angles: 120.87 91.17 59.83
Each line ends with the local moment (μB).
Positions (direct):
Ni (0.169, 0.790, 0.850)  0.49
Ni (0.831, 0.210, 0.150)  0.49
Se (0.587, 0.202, 0.955)  0.02
Se (0.030, 0.555, 0.803)  0.02
Se (0.413, 0.798, 0.045)  0.02
Se (0.213, 0.815, 0.568)  0.02
Se (0.787, 0.185, 0.432)  0.02
Se (0.970, 0.445, 0.197)  0.02
Pa (0.161, 0.675, 0.167)  -0.05
Pa (0.839, 0.325, 0.833)  -0.05
Tl (0.500, 0.000, 0.500)  0.01

---

# 3
Entry from the Alexandria database: an optimized crystal structure of PaTlNiSe4 (GGA-PBE).

The calculation puts the total magnetization at 0.7 μB/f.u. The value obtained for the formation energy from raw total energies is -551 kJ/mol of formula units. Its space group is P2_1/m (11). The total energy comes out at -37.292 eV per formula unit.

abc: 6.939 5.781 9.322
angles: 90.00 106.27 90.00
Each line ends with the local moment (μB).
Positions (direct):
Se (0.986, 0.006, 0.295)  0.03
Se (0.014, 0.994, 0.705)  0.03
Se (0.014, 0.506, 0.705)  0.03
Se (0.573, 0.250, 0.403)  0.03
Se (0.449, 0.750, 0.171)  0.05
Se (0.551, 0.250, 0.829)  0.05
Se (0.427, 0.750, 0.597)  0.03
Se (0.986, 0.494, 0.295)  0.03
Tl (0.737, 0.750, 0.952)  0.01
Tl (0.263, 0.250, 0.048)  0.01
Pa (0.268, 0.250, 0.554)  0.02
Pa (0.732, 0.750, 0.446)  0.02
Ni (0.256, 0.750, 0.344)  0.42
Ni (0.744, 0.250, 0.656)  0.42